This record from OQMD describes crystalline YHfMo2 at its relaxed geometry. The functional is PBE.

## Properties
**Energy relative to the elements**: 34.7 kJ per mole of atoms
**Total DFT energy (no corrections)**: -9.17 eV per atom

Lattice parameters (Å, degrees): 6.7664 6.7664 6.7664 90.00 90.00 90.00
With the nearest neighbours (Å) after each atom.
Space group F-43m (No. 216)
Unique sites:
Y 0.0000 0.0000 0.0000 [4 per cell]  4 Hf 2.93, 4 Mo 2.93
Hf 0.2500 0.2500 0.7500 [4 per cell]  4 Mo 2.93, 4 Y 2.93
Mo 0.0000 0.0000 0.5000 [4 per cell]  4 Hf 2.93, 4 Mo 2.93
Mo 0.2500 0.2500 0.2500 [4 per cell]  4 Mo 2.93, 4 Y 2.93